Density functional theory data (PBEsol) for a relaxed structure of NbGaCo2Si.

Lattice parameters (Å, degrees): 4.388 4.388 4.938 90.00 90.00 90.00
Each line ends with the local moment (μB).
Sites, in units of the cell vectors:
Nb 0.000 0.000 0.000  -0.08
Co 0.000 0.500 0.000  0.42
Co 0.500 0.000 0.000  0.42
Si 0.500 0.500 0.500  0.00
Ga 0.000 0.000 0.500  0.01

Output
total moment	0.803	Bohr magnetons per cell
crystal system	tetragonal
energy relative to the elements, uncorrected	1.458	eV per atom